(1)
DFT (GGA-PBE) results for Er2Tm3Th4 after structural relaxation.

Values from the calculation:
Crystal system = monoclinic
Energy relative to the lowest polymorph listed for this composition = 0.1022 eV/atom
N(E_F) = 1.6685 states/eV per atom
Mass density = 10.3 g/cm³
Formation enthalpy at 0 K = 0.140 eV/atom

a b c (Å): 16.2827 10.3253 6.9452
angles (deg): 90.00 102.30 90.00
Last column: nearest neighbours and their distance in Å.
Space group C2/c (No. 15)
Inequivalent atoms, fractional coordinates:
Er: 0.1742 0.1736 0.3341  4 Tm 3.28-3.63, 1 Er 3.39, 6 Th 3.40-3.65
Tm: 0.0000 0.0036 0.2500  2 Th 3.27, 2 Er 3.28, 2 Tm 3.47
Tm: 0.1623 0.4978 0.8302  7 Th 3.39-3.62, 3 Er 3.40-3.63, 2 Tm 3.47
Th: 0.9996 0.3253 0.5014  5 Th 3.45-3.63, 6 Tm 3.58-3.81, 2 Er 3.62-3.65
Th: 0.1723 0.1694 0.8378  4 Tm 3.27-3.62, 4 Er 3.40-3.54, 3 Th 3.44-3.63

=====

(2)
DFT (GGA-PBE) results for Er5Tm6Th2 after structural relaxation.

Values from the calculation:
Crystal system = orthorhombic
N(E_F) = 1.4692 states/eV per atom
Mass density = 9.4 g/cm³
Formation enthalpy at 0 K = 0.110 eV/atom

a b c (Å): 11.4524 20.1751 3.5243
angles (deg): 90.00 90.00 90.00
Last column: nearest neighbours and their distance in Å.
Space group Pbam (No. 55)
Inequivalent atoms, fractional coordinates:
Er: 0.0000 0.0000 0.0000  6 Tm 3.25-3.48, 2 Er 3.52
Er: 0.0823 0.2876 0.0000  5 Tm 3.23-3.40, 4 Th 3.47, 2 Er 3.52
Er: 0.1956 0.5683 0.0000  6 Tm 3.52-3.57, 3 Er 3.52-3.75, 2 Th 3.71
Tm: 0.0691 0.1436 0.5000  2 Th 3.39-3.80, 6 Er 3.40-3.56, 4 Tm 3.41-3.52
Tm: 0.0706 0.4317 0.5000  5 Tm 3.20-3.52, 6 Er 3.40-3.57
Tm: 0.1834 0.8769 0.0000  2 Er 3.23-3.25, 6 Tm 3.41-3.52, 2 Th 3.45
Th: 0.1768 0.7301 0.5000  4 Tm 3.39-3.80, 6 Er 3.47-3.71, 2 Th 3.52

=====

(3)
DFT (GGA-PBE) results for Er2Tm2Th3 after structural relaxation.

Values from the calculation:
Crystal system = monoclinic
N(E_F) = 1.4822 states/eV per atom
Mass density = 10.3 g/cm³
Formation enthalpy at 0 K = 0.219 eV/atom

a b c (Å): 7.4830 6.2880 11.7302
angles (deg): 90.00 126.55 90.00
Last column: nearest neighbours and their distance in Å.
Space group P2_1/c (No. 14)
Inequivalent atoms, fractional coordinates:
Er: 0.1057 0.1640 0.3193  3 Tm 3.12-3.26, 2 Th 3.40-3.49, 2 Er 3.46
Tm: 0.3902 0.7272 0.4618  3 Er 3.12-3.26, 1 Tm 3.15, 1 Th 3.33
Th: 0.0000 0.0000 0.0000  4 Er 3.40-3.49, 2 Tm 3.51, 2 Th 3.62
Th: 0.3323 0.0275 0.6716  4 Tm 3.33-3.71, 3 Er 3.51-3.63, 1 Th 3.62

=====

(4)
DFT (GGA-PBE) results for ErTmTh3 after structural relaxation.

Values from the calculation:
Crystal system = monoclinic
Energy relative to the lowest polymorph listed for this composition = 0.0000 eV/atom
N(E_F) = 1.6912 states/eV per atom
Mass density = 10.7 g/cm³
Formation enthalpy at 0 K = 0.131 eV/atom

a b c (Å): 8.5621 3.4440 11.6087
angles (deg): 90.00 111.27 90.00
Last column: nearest neighbours and their distance in Å.
Space group P2_1/m (No. 11)
Inequivalent atoms, fractional coordinates:
Er: 0.1415 0.2500 0.4497  7 Th 3.37-3.65, 4 Er 3.44-3.50
Tm: 0.3588 0.7500 0.0582  8 Th 3.40-3.66, 4 Tm 3.44-3.61
Th: 0.0562 0.2500 0.1422  1 Er 3.37, 7 Th 3.44-3.58, 3 Tm 3.47-3.53
Th: 0.2269 0.2500 0.7628  3 Tm 3.40-3.63, 3 Er 3.44-3.65, 6 Th 3.44-3.69
Th: 0.4808 0.2500 0.3559  7 Th 3.44-3.69, 3 Er 3.45-3.64, 2 Tm 3.66

=====

(5)
DFT (GGA-PBE) results for Er12Tm5Th2 after structural relaxation.

Values from the calculation:
Crystal system = monoclinic
N(E_F) = 1.4656 states/eV per atom
Mass density = 9.1 g/cm³
Formation enthalpy at 0 K = 0.151 eV/atom

a b c (Å): 15.4924 9.2766 8.3889
angles (deg): 90.00 91.12 90.00
Last column: nearest neighbours and their distance in Å.
Space group C2/m (No. 12)
Inequivalent atoms, fractional coordinates:
Er: 0.0568 0.0000 0.3247  2 Th 3.30, 2 Tm 3.35-3.42, 7 Er 3.37-3.46
Er: 0.0896 0.5000 0.8835  2 Th 3.42, 5 Er 3.43-3.58, 3 Tm 3.43-3.48
Er: 0.1272 0.1924 0.6550  4 Tm 3.36-3.69, 6 Er 3.37-3.68, 1 Th 3.53
Er: 0.1549 0.3200 0.2433  5 Er 3.34-3.68, 1 Th 3.38, 4 Tm 3.45-3.66
Tm: 0.0000 0.5000 0.5000  10 Er 3.48-3.69, 2 Tm 3.65
Tm: 0.1950 0.0000 0.0120  8 Er 3.42-3.62, 2 Th 3.45, 1 Tm 3.61
Tm: 0.2327 0.5000 0.5767  10 Er 3.35-3.74, 2 Tm 3.61-3.65
Th: 0.0000 0.1807 0.0000  8 Er 3.30-3.53, 1 Th 3.35, 2 Tm 3.45

=====

(6)
DFT (GGA-PBE) results for Er4Tm10Th after structural relaxation.

Values from the calculation:
Crystal system = tetragonal
N(E_F) = 1.7370 states/eV per atom
Mass density = 9.0 g/cm³
Formation enthalpy at 0 K = 0.404 eV/atom

a b c (Å): 9.6727 9.6727 10.2179
angles (deg): 90.00 90.00 90.00
Last column: nearest neighbours and their distance in Å.
Space group I4/m (No. 87)
Inequivalent atoms, fractional coordinates:
Er: 0.0734 0.6648 0.0000  2 Tm 3.09, 1 Th 3.32
Tm: 0.0000 0.5000 0.2500  4 Er 3.09, 4 Tm 3.11
Tm: 0.1112 0.7877 0.3375  5 Tm 3.11-3.32
Th: 0.0000 0.0000 0.0000  4 Er 3.32

=====

(7)
DFT (GGA-PBE) results for Er2Tm6Th after structural relaxation.

Values from the calculation:
Crystal system = trigonal
N(E_F) = 1.6037 states/eV per atom
Mass density = 8.5 g/cm³
Formation enthalpy at 0 K = 0.435 eV/atom

a b c (Å): 6.8159 6.8159 23.1191
angles (deg): 90.00 90.00 120.00
Last column: nearest neighbours and their distance in Å.
Space group R3m (No. 160, hexagonal axes)
Inequivalent atoms, fractional coordinates:
Er: 0.0000 0.0000 0.0000  9 Tm 3.45-3.67, 1 Er 3.71
Er: 0.0000 0.0000 0.1603  6 Tm 3.52, 1 Er 3.71
Tm: 0.0021 0.5010 0.9757  6 Tm 3.25-3.43, 1 Th 3.27, 2 Er 3.45
Tm: 0.1707 0.3413 0.5316  1 Th 3.19, 6 Tm 3.25-3.49, 2 Er 3.52
Th: 0.0000 0.0000 0.7550  6 Tm 3.19-3.27

=====

(8)
DFT (GGA-PBE) results for Er5TmTh after structural relaxation.

Values from the calculation:
Crystal system = orthorhombic
Energy relative to the lowest polymorph listed for this composition = 0.0992 eV/atom
N(E_F) = 1.3331 states/eV per atom
Mass density = 9.4 g/cm³
Formation enthalpy at 0 K = 0.298 eV/atom

a b c (Å): 6.5051 6.5168 10.3657
angles (deg): 90.00 90.00 90.00
Last column: nearest neighbours and their distance in Å.
Space group Imm2 (No. 44)
Inequivalent atoms, fractional coordinates:
Er: 0.0000 0.0000 0.0000  1 Th 3.05, 2 Er 3.14
Er: 0.0000 0.2724 0.5548  3 Er 2.97-3.22, 1 Th 3.24
Er: 0.2276 0.5000 0.2497  4 Er 2.96-3.22
Tm: 0.0000 0.5000 0.9007  2 Er 3.42, 2 Th 3.44
Th: 0.0000 0.0000 0.2938  3 Er 3.05-3.24

=====

(9)
DFT (GGA-PBE) results for ErTmTh2 after structural relaxation.

Values from the calculation:
Crystal system = trigonal
Energy relative to the lowest polymorph listed for this composition = 0.0000 eV/atom
N(E_F) = 1.4587 states/eV per atom
Mass density = 10.7 g/cm³
Formation enthalpy at 0 K = 0.030 eV/atom

a b c (Å): 3.5521 3.5521 34.2464
angles (deg): 90.00 90.00 120.00
Last column: nearest neighbours and their distance in Å.
Space group R-3m (No. 166, hexagonal axes)
Inequivalent atoms, fractional coordinates:
Er: 0.0000 0.0000 0.0000  6 Th 3.52, 6 Er 3.55
Tm: 0.0000 0.0000 0.5000  6 Th 3.51, 6 Tm 3.55
Th: 0.0000 0.0000 0.2499  3 Tm 3.51, 3 Er 3.52, 6 Th 3.55

=====

(10)
DFT (GGA-PBE) results for Er8Tm2Th3 after structural relaxation.

Values from the calculation:
Crystal system = triclinic
Energy relative to the lowest polymorph listed for this composition = 0.0000 eV/atom
N(E_F) = 1.5239 states/eV per atom
Mass density = 9.7 g/cm³
Formation enthalpy at 0 K = 0.105 eV/atom

a b c (Å): 6.4056 6.6521 9.8650
angles (deg): 88.24 77.03 83.89
Last column: nearest neighbours and their distance in Å.
Space group P-1 (No. 2)
Inequivalent atoms, fractional coordinates:
Er: 0.0618 0.0213 0.1719  3 Th 3.37-3.59, 5 Er 3.39-3.68, 2 Tm 3.55-3.56
Er: 0.2088 0.5425 0.2837  2 Tm 3.22-3.42, 5 Er 3.26-3.58, 3 Th 3.31-3.57
Er: 0.3037 0.6517 0.6162  8 Er 3.40-3.76, 4 Tm 3.56-3.78
Er: 0.4369 0.1362 0.7312  2 Tm 3.19-3.42, 2 Er 3.26-3.39, 2 Th 3.35-3.39
Tm: 0.1737 0.1584 0.4918  7 Er 3.19-3.56, 1 Tm 3.20
Th: 0.0000 0.5000 0.0000  4 Er 3.39-3.59, 4 Th 3.54-3.70
Th: 0.4723 0.7490 0.9598  6 Er 3.31-3.57, 4 Th 3.38-3.70